A plane-wave DFT calculation with PBE-GGA was carried out for a geometry-optimized Ac6CdCu structure.

a = 5.620 Å, b = 5.620 Å, c = 19.297 Å
α = 90.00°, β = 90.00°, γ = 90.00°
Space group I4/mmm (No. 139)
Unique sites:
Ac 0.000 0.000 0.249 (multiplicity 4)
Ac 0.000 0.500 0.102 (multiplicity 8)
Cd 0.000 0.000 0.000 (multiplicity 2)
Cu 0.000 0.000 0.500 (multiplicity 2)

Computed properties:
The energy relative to the elements comes out at -0.067 eV/atom. The value obtained for the total DFT energy (no corrections) is -3.775 eV/atom.